(1)
The following is a PBE calculation of a geometry-optimized SnOsAu2Cl structure, from Alexandria via LeMat-Bulk.

```
SnOsAu2Cl
1.0
-1.487 -4.784 -0.526
4.995 -1.533 -0.183
0.013 -0.555 5.006
Os Au Sn Cl
1 2 1 1
Cartesian
0.000 0.000 0.000
0.007 -0.277 2.503
-0.744 -2.392 -0.263
2.498 -0.766 -0.092
1.760 -3.436 2.148
```

Calculated values
uncorrected formation energy	0.77	eV per atom
crystal system	tetragonal
space-group type	P4/mmm, No. 123
total DFT energy (no corrections)	-3.955	eV/atom
N(E_F)	1.3601	states/eV/atom

---

(2)
The following is a PBE calculation of a geometry-optimized CaZr2Cl structure, from Alexandria via LeMat-Bulk.

```
CaZr2Cl
1.0
-3.202 -0.805 -5.282
-5.487 -2.790 0.956
3.762 4.909 0.749
Ca Zr Cl
1 2 1
Cartesian
-4.038 -1.671 -2.010
-0.203 -0.084 -0.101
-2.147 1.048 -3.475
-2.884 0.223 -0.154
```

Calculated values
ΔE to the lowest computed polymorph	373	meV per atom
uncorrected formation energy	-0.11	eV per atom
crystal system	orthorhombic
space-group type	Imm2, No. 44
total DFT energy (no corrections)	-5.341	eV/atom
N(E_F)	1.2259	states/eV/atom

---

(3)
The following is a PBE calculation of a geometry-optimized NaTl3Pd structure, from Alexandria via LeMat-Bulk.

```
NaTl3Pd
1.0
-3.982 -2.025 -1.695
2.639 -2.064 -3.732
-0.387 -3.411 4.983
Na Tl Pd
1 3 1
Cartesian
-1.908 -1.409 -0.569
1.380 -1.320 -1.664
0.449 -2.140 1.501
-0.195 -4.316 -1.120
-1.270 -4.448 1.563
```

Calculated values
formation energy from the elements	-0.121	eV per atom
ΔE to the lowest computed polymorph	0	meV per atom
crystal system	orthorhombic
space-group type	Amm2, No. 38
total DFT energy (no corrections)	-2.843	eV/atom
N(E_F)	0.3899	states/eV/atom